No. 1
Pr2NdAl2Ni4 after structural relaxation. Source: OQMD via LeMat-Bulk, functional PBE.

The space group is C2/m (No. 12) and the conventional cell measures 10.281, 4.166 and 8.345 Å, with angles of 90.00, 98.99 and 90.00 degrees. The distinct sites, in fractional coordinates, are Pr at (0.124, 0.000, 0.380), Nd at (0.000, 0.500, 0.000), Al at (0.178, 0.000, 0.788), Ni at (0.086, 0.500, 0.639) and Ni at (0.238, 0.000, 0.086).

For the total energy, the calculation gives -5.372 eV/atom.

***

No. 2
PaTaIr after structural relaxation. Source: OQMD via LeMat-Bulk, functional PBE.

The space group is F-43m (No. 216) and the conventional cell measures 6.430, 6.430 and 6.430 Å, with angles of 90.00, 90.00 and 90.00 degrees. The distinct sites, in fractional coordinates, are Pa at (0.000, 0.000, 0.000), Ta at (0.250, 0.250, 0.250) and Ir at (0.250, 0.250, 0.750).

For the formation energy, the calculation gives 12.03 kcal/mol of atoms. For the total energy, the calculation gives -9.546 eV/atom. The value obtained for the offset from the most stable computed form is 0.456 eV/atom.

***

Please write out number 2 again, unchanged.
PaTaIr after structural relaxation. Source: OQMD via LeMat-Bulk, functional PBE.

The space group is F-43m (No. 216) and the conventional cell measures 6.430, 6.430 and 6.430 Å, with angles of 90.00, 90.00 and 90.00 degrees. The distinct sites, in fractional coordinates, are Pa at (0.000, 0.000, 0.000), Ta at (0.250, 0.250, 0.250) and Ir at (0.250, 0.250, 0.750).

For the formation energy, the calculation gives 12.03 kcal/mol of atoms. For the total energy, the calculation gives -9.546 eV/atom. The value obtained for the offset from the most stable computed form is 0.456 eV/atom.